# ZrFeP3PbO12

A geometry-optimized ZrFeP3PbO12 structure (PBE+U, the Alexandria database).

* SG: R3c (161)
* raw total energy: -7.50 eV per atom

Cell: 9.3451 9.3451 9.3451 Å, 56.06 56.06 56.06°
Each line ends with the local moment (μB).
Sites, in units of the cell vectors:
Pb 0.5124 0.5124 0.5124  0.00
O 0.4838 0.8634 0.7385  0.10
O 0.7385 0.4838 0.8634  0.10
O 0.9242 0.0892 0.7079  0.01
O 0.0062 0.7819 0.6197  0.00
O 0.4343 0.5576 0.7792  0.06
P 0.5300 0.9553 0.2599  0.01
O 0.0576 0.9343 0.2792  0.06
O 0.9838 0.2385 0.3634  0.10
O 0.2385 0.3634 0.9838  0.10
O 0.7819 0.6197 0.0062  0.00
O 0.7079 0.9242 0.0892  0.01
O 0.1197 0.2819 0.5062  0.00
P 0.4553 0.0300 0.7599  0.01
Zr 0.8530 0.8530 0.8530  0.00
P 0.9553 0.2599 0.5300  0.01
O 0.6197 0.0062 0.7819  0.00
Fe 0.1536 0.1536 0.1536  4.41
O 0.3634 0.9838 0.2385  0.10
O 0.7792 0.4343 0.5576  0.06
P 0.2599 0.5300 0.9553  0.01
O 0.4242 0.2079 0.5892  0.01
P 0.0300 0.7599 0.4553  0.01
P 0.7599 0.4553 0.0300  0.01
O 0.0892 0.7079 0.9242  0.01
O 0.5892 0.4242 0.2079  0.01
Pb 0.0124 0.0124 0.0124  0.00
Zr 0.3530 0.3530 0.3530  0.00
Fe 0.6536 0.6536 0.6536  4.41
O 0.2792 0.0576 0.9343  0.06
O 0.9343 0.2792 0.0576  0.06
O 0.5576 0.7792 0.4343  0.06
O 0.2079 0.5892 0.4242  0.01
O 0.2819 0.5062 0.1197  0.00
O 0.5062 0.1197 0.2819  0.00
O 0.8634 0.7385 0.4838  0.10